The following is a PBE calculation of an optimized crystal structure of NbCoW, from OQMD.

Results
- ΔH_f (0 K) (eV per atom) = 0.53

a b c (Å): 5.8375 5.8375 5.8375
angles (deg): 90.00 90.00 90.00
Space group F-43m (No. 216)
One atom of each set of equivalent atoms:
Nb  0.0000  0.0000  0.0000
Co  0.2500  0.2500  0.2500
W  0.0000  0.0000  0.5000